A geometry-optimized RbBa2Sb2 structure, computed with PBE.

The structure in CIF format:
```
data_RbBa2Sb2
_chemical_formula_sum 'Rb1 Ba2 Sb2'
_space_group_name_H-M_alt 'P 1'
_space_group_IT_number 1
_cell_length_a 5.882
_cell_length_b 5.882
_cell_length_c 8.178
_cell_angle_alpha 68.92
_cell_angle_beta 68.92
_cell_angle_gamma 90.00
loop_
_space_group_symop_operation_xyz
'x,y,z'
loop_
_atom_site_label
_atom_site_type_symbol
_atom_site_fract_x
_atom_site_fract_y
_atom_site_fract_z
Sb1 Sb 0.387 0.387 0.226
Sb2 Sb 0.613 0.613 0.774
Ba1 Ba 0.750 0.250 0.500
Ba2 Ba 0.250 0.750 0.500
Rb1 Rb 0.000 0.000 0.000
```

Computed properties:
The density of states at the Fermi level is 0.589 states/eV/atom. As for the crystal system: tetragonal. The formation energy (no corrections) is -0.598 eV per atom. The calculation puts the magnetic moment at 0.0 μB per cell. Its energy is -16.05 eV per cell. The energy above the most stable polymorph in this dataset comes out at 0.1969 eV/atom.